Entry 1:
An optimized crystal structure of Ga2Cu4Ge, computed with GGA-PBE.

Calculated total energy in hartree per atom: -0.1277
Volume in Å³ per atom: 18.460
E_form in eV per atom: 0.389

abc: 4.5958 4.5958 12.2356
angles: 90.00 90.00 90.00
With the nearest neighbours (Å) after each atom.
Space group I4/mmm (No. 139)
Asymmetric unit:
1 Ga 0.0000 0.0000 0.1170 [4 per cell]  1 Cu 2.35
2 Cu 0.0000 0.0000 0.3087 [4 per cell]  1 Ge 2.34, 1 Ga 2.35
3 Cu 0.0000 0.5000 0.0000 [4 per cell]  2 Ge 2.30
4 Ge 0.0000 0.0000 0.5000 [2 per cell]  6 Cu 2.30-2.34

---

Entry 2:
An optimized crystal structure of Sc2SeBr, computed with GGA-PBE.

Calculated total energy in hartree per atom: -0.2074
Volume in Å³ per atom: 21.657
Energy relative to the lowest polymorph listed for this composition in eV/atom: 0.049
ΔE_f (raw) in meV per atom: -1187

abc: 3.7106 3.7106 21.7957
angles: 90.00 90.00 120.00
With the nearest neighbours (Å) after each atom.
Space group R3m (No. 160, hexagonal axes)
Asymmetric unit:
1 Sc 0.0000 0.0000 0.0000 [3 per cell]  3 Se 2.66, 3 Br 2.92
2 Sc 0.0000 0.0000 0.1902 [3 per cell]  3 Se 2.64
3 Se 0.0000 0.0000 0.5946 [3 per cell]  6 Sc 2.64-2.66
4 Br 0.0000 0.0000 0.4244 [3 per cell]  6 Sc 2.92-3.04

---

Entry 3:
An optimized crystal structure of TmMg2Zn, computed with GGA-PBE.

Calculated total energy in hartree per atom: -0.0826
Volume in Å³ per atom: 21.452
E_form in eV per atom: -0.014

abc: 7.0015 7.0015 7.0015
angles: 90.00 90.00 90.00
With the nearest neighbours (Å) after each atom.
Space group Fm-3m (No. 225)
Asymmetric unit:
1 Tm 0.0000 0.0000 0.0000 [4 per cell]  8 Mg 3.03
2 Mg 0.2500 0.2500 0.2500 [8 per cell]  4 Zn 3.03, 4 Tm 3.03
3 Zn 0.0000 0.0000 0.5000 [4 per cell]  8 Mg 3.03

---

Entry 4:
An optimized crystal structure of Ta2TcBr, computed with GGA-PBE.

Calculated total energy in hartree per atom: -0.3185
Volume in Å³ per atom: 18.428
Energy relative to the lowest polymorph listed for this composition in eV/atom: 0.206
ΔE_f (raw) in meV per atom: 269

abc: 3.1691 3.1691 25.4251
angles: 90.00 90.00 120.00
With the nearest neighbours (Å) after each atom.
Space group R-3m (No. 166, hexagonal axes)
Asymmetric unit:
1 Ta 0.0000 0.0000 0.2418 [6 per cell]  3 Tc 2.64, 3 Br 2.96
2 Tc 0.0000 0.0000 0.5000 [3 per cell]  6 Ta 2.64
3 Br 0.0000 0.0000 0.0000 [3 per cell]  6 Ta 2.96, 6 Br 3.17

---

Entry 5:
An optimized crystal structure of YPaCdIn, computed with GGA-PBE.

Calculated total energy in hartree per atom: -0.1809
Volume in Å³ per atom: 26.525
E_form in eV per atom: -0.020

abc: 7.5150 7.5150 7.5150
angles: 90.00 90.00 90.00
With the nearest neighbours (Å) after each atom.
Space group F-43m (No. 216)
Asymmetric unit:
1 Y 0.0000 0.0000 0.0000 [4 per cell]  4 Cd 3.25, 4 In 3.25
2 Pa 0.0000 0.0000 0.5000 [4 per cell]  4 Cd 3.25, 4 In 3.25
3 Cd 0.2500 0.2500 0.7500 [4 per cell]  4 Pa 3.25, 4 Y 3.25
4 In 0.2500 0.2500 0.2500 [4 per cell]  4 Pa 3.25, 4 Y 3.25

---

Entry 6:
An optimized crystal structure of RbUAgO5, computed with GGA-PBE.

Calculated total energy in hartree per atom: -0.2492
Volume in Å³ per atom: 17.382
ΔE_f (raw) in meV per atom: -1794

abc: 6.7601 10.6302 8.1410
angles: 90.00 108.05 90.00
With the nearest neighbours (Å) after each atom.
Space group C2/c (No. 15)
Asymmetric unit:
1 Rb 0.0000 0.1760 0.2500 [4 per cell]  7 O 2.79-2.99
2 U 0.0000 0.5000 0.0000 [4 per cell]  6 O 2.02-2.14
3 Ag 0.0000 0.1762 0.7500 [4 per cell]  4 O 2.15-2.17
4 O 0.0000 0.4384 0.2500 [4 per cell]  2 U 2.14
5 O 0.0457 0.3176 0.5771 [8 per cell]  1 U 2.03, 1 Ag 2.15
6 O 0.1937 0.0404 0.9269 [8 per cell]  1 U 2.02, 1 Ag 2.17